Entry 1:
Below is crystalline TbZn4Pt at its relaxed geometry, with properties calculated at the PBE-GGA level.

Unit cell a=4.6578 b=6.9193 c=7.1920 alpha=90.00 beta=108.89 gamma=90.00
With the nearest neighbours (Å) after each atom.
Element x y z (fractional)
Zn 0.7725 0.5805 0.5450  1 Zn 2.35, 1 Pt 2.50
Zn 0.7725 0.9195 0.5450  1 Zn 2.35, 1 Pt 2.50
Zn 0.2275 0.4195 0.4550  1 Zn 2.35, 1 Pt 2.50
Zn 0.5889 0.7500 0.1778  2 Pt 2.49, 2 Zn 2.76
Zn 0.4111 0.2500 0.8222  2 Pt 2.49, 2 Zn 2.76
Zn 0.0000 0.0000 0.0000  2 Pt 2.71
Zn 0.2275 0.0805 0.4550  1 Zn 2.35, 1 Pt 2.50
Zn 0.0000 0.5000 0.0000  2 Pt 2.71
Pt 0.1528 0.7500 0.3057  6 Zn 2.49-2.71
Pt 0.8472 0.2500 0.6943  6 Zn 2.49-2.71
Tb 0.6180 0.2500 0.2361  7 Zn 2.82-3.11, 1 Pt 3.12
Tb 0.3820 0.7500 0.7639  7 Zn 2.82-3.11, 1 Pt 3.12

Calculated values
formation enthalpy at 0 K: -0.32 eV/atom
symmetry: Cmcm (63)
excess energy over the best structure of this formula in the dataset: 72 meV/atom
magnetic moment: 0.0 μB/cell

=====

Entry 2:
Below is crystalline LaPb2W at its relaxed geometry, with properties calculated at the PBE-GGA level.

Unit cell a=5.2137 b=5.2137 c=5.7330 alpha=71.71 beta=71.71 gamma=46.18
With the nearest neighbours (Å) after each atom.
Element x y z (fractional)
La 0.7500 0.7500 0.7500  6 Pb 3.26-3.31, 4 W 3.52
W 0.2500 0.2500 0.2500  6 Pb 2.93-3.14
Pb 0.5208 0.5208 0.4407  3 W 2.93-3.14, 2 Pb 3.12, 1 La 3.26
Pb 0.9792 0.9792 0.0593  3 W 2.93-3.14, 2 Pb 3.12, 1 La 3.26

Calculated values
formation enthalpy at 0 K: 0.37 eV/atom
symmetry: C2/m (12)
excess energy over the best structure of this formula in the dataset: 0 meV/atom
magnetic moment: 0.0 μB/cell

=====

Entry 3:
Below is crystalline As2Pb6AuBr3 at its relaxed geometry, with properties calculated at the PBE-GGA level.

Unit cell a=7.5038 b=7.5038 c=7.9504 alpha=99.49 beta=99.49 gamma=117.74
With the nearest neighbours (Å) after each atom.
Element x y z (fractional)
Pb 0.2644 0.2644 0.8046  1 Au 2.94, 2 As 2.96
Pb 0.0878 0.4137 0.2111  2 As 2.94-3.01, 1 Au 2.98, 2 Br 3.25-3.27
Pb 0.7356 0.7356 0.1954  1 Au 2.94, 2 As 2.96
Pb 0.5863 0.9122 0.7889  2 As 2.94-3.01, 1 Au 2.98, 2 Br 3.25-3.27
Pb 0.4137 0.0878 0.2111  2 As 2.94-3.01, 1 Au 2.98, 2 Br 3.25-3.27
Pb 0.9122 0.5863 0.7889  2 As 2.94-3.01, 1 Au 2.98, 2 Br 3.25-3.27
As 0.6711 0.3289 0.0000  6 Pb 2.94-3.01
As 0.3289 0.6711 0.0000  6 Pb 2.94-3.01
Au 0.0000 0.0000 0.0000  6 Pb 2.94-2.98
Br 0.5000 0.5000 0.5000  6 Pb 3.25-3.47
Br 0.1721 0.8279 0.5000  6 Pb 3.27-3.45
Br 0.8279 0.1721 0.5000  6 Pb 3.27-3.45

Calculated values
symmetry: C2/m (12)
magnetic moment: 0.0 μB/cell
raw formation energy: -0.34 eV/atom

=====

Entry 4:
Below is crystalline BaSr3In at its relaxed geometry, with properties calculated at the PBE-GGA level.

Unit cell a=6.5211 b=6.5211 c=6.5211 alpha=90.00 beta=90.00 gamma=90.00
With the nearest neighbours (Å) after each atom.
Element x y z (fractional)
Sr 0.0000 0.5000 0.0000  2 In 3.26
Sr 0.0000 0.0000 0.5000  2 In 3.26
Sr 0.5000 0.0000 0.0000  2 In 3.26
Ba 0.5000 0.5000 0.5000  12 Sr 4.61
In 0.0000 0.0000 0.0000  6 Sr 3.26

Calculated values
formation enthalpy at 0 K: -0.06 eV/atom
symmetry: Pm-3m (221)
excess energy over the best structure of this formula in the dataset: 101 meV/atom
magnetic moment: 0.0 μB/cell

=====

Entry 5:
Below is crystalline TaMnP2 at its relaxed geometry, with properties calculated at the PBE-GGA level.

Unit cell a=4.2970 b=4.2970 c=4.2970 alpha=60.00 beta=60.00 gamma=60.00
With the nearest neighbours (Å) after each atom.
Element x y z (fractional)
P 0.0000 0.0000 0.0000  4 Ta 2.63, 4 P 2.63
P 0.7500 0.7500 0.7500  4 Mn 2.63, 4 P 2.63
Mn 0.5000 0.5000 0.5000  4 Ta 2.63, 4 P 2.63
Ta 0.2500 0.2500 0.2500  4 Mn 2.63, 4 P 2.63

Calculated values
formation enthalpy at 0 K: 0.14 eV/atom
symmetry: F-43m (216)
excess energy over the best structure of this formula in the dataset: 753 meV/atom
magnetic moment: 1.9 μB/cell

=====

Entry 6:
Below is crystalline SmCuSnRh at its relaxed geometry, with properties calculated at the PBE-GGA level.

Unit cell a=4.7781 b=4.7781 c=4.7781 alpha=60.00 beta=60.00 gamma=60.00
With the nearest neighbours (Å) after each atom.
Element x y z (fractional)
Rh 0.0000 0.0000 0.0000  4 Sm 2.93, 4 Sn 2.93
Sn 0.2500 0.2500 0.2500  4 Cu 2.93, 4 Rh 2.93
Sm 0.7500 0.7500 0.7500  4 Cu 2.93, 4 Rh 2.93
Cu 0.5000 0.5000 0.5000  4 Sn 2.93, 4 Sm 2.93

Calculated values
formation enthalpy at 0 K: -0.49 eV/atom
symmetry: F-43m (216)
magnetic moment: 0.0 μB/cell

=====

Repeat the first record exactly.
Below is crystalline TbZn4Pt at its relaxed geometry, with properties calculated at the PBE-GGA level.

Unit cell a=4.6578 b=6.9193 c=7.1920 alpha=90.00 beta=108.89 gamma=90.00
With the nearest neighbours (Å) after each atom.
Element x y z (fractional)
Zn 0.7725 0.5805 0.5450  1 Zn 2.35, 1 Pt 2.50
Zn 0.7725 0.9195 0.5450  1 Zn 2.35, 1 Pt 2.50
Zn 0.2275 0.4195 0.4550  1 Zn 2.35, 1 Pt 2.50
Zn 0.5889 0.7500 0.1778  2 Pt 2.49, 2 Zn 2.76
Zn 0.4111 0.2500 0.8222  2 Pt 2.49, 2 Zn 2.76
Zn 0.0000 0.0000 0.0000  2 Pt 2.71
Zn 0.2275 0.0805 0.4550  1 Zn 2.35, 1 Pt 2.50
Zn 0.0000 0.5000 0.0000  2 Pt 2.71
Pt 0.1528 0.7500 0.3057  6 Zn 2.49-2.71
Pt 0.8472 0.2500 0.6943  6 Zn 2.49-2.71
Tb 0.6180 0.2500 0.2361  7 Zn 2.82-3.11, 1 Pt 3.12
Tb 0.3820 0.7500 0.7639  7 Zn 2.82-3.11, 1 Pt 3.12

Calculated values
formation enthalpy at 0 K: -0.32 eV/atom
symmetry: Cmcm (63)
excess energy over the best structure of this formula in the dataset: 72 meV/atom
magnetic moment: 0.0 μB/cell